Entry 1:
4
Lattice="2.658 0.000 0.000 0.000 2.658 0.000 0.000 0.000 8.477" Properties=species:S:1:pos:R:3 comment="CuRe2Au, relaxed, DFT GGA-PBE" total_magnetization_mub_per_cell=0.00 crystal_system=tetragonal polymorph_energy_ev_per_atom=0.357 space_group="No. 123" pbc="T T T"
Cu 0.000 0.000 0.000
Re 1.329 1.329 1.966
Re 1.329 1.329 6.511
Au 0.000 0.000 4.238


Entry 2:
4
Lattice="3.471 0.000 0.000 0.000 3.471 0.000 0.000 0.000 5.296" Properties=species:S:1:pos:R:3 comment="TaNiAs2, relaxed, DFT GGA-PBE" dft_energy_ev_per_cell=-27.89 total_magnetization_mub_per_cell=0.00 crystal_system=tetragonal space_group="No. 99" pbc="T T T"
Ta 0.000 0.000 0.000
Ni 1.735 1.735 3.611
As 0.000 0.000 2.797
As 1.735 1.735 0.937


Entry 3:
4
Lattice="1.625 0.938 8.819 -1.625 0.938 8.819 0.000 -1.877 8.819" Properties=species:S:1:pos:R:3 comment="Hf2TcSe, relaxed, DFT GGA-PBE" total_magnetization_mub_per_cell=0.00 crystal_system=trigonal formation_energy_uncorrected_mev_per_atom=130.5 space_group="No. 166" pbc="T T T"
Hf 0.000 0.000 2.422
Hf 0.000 0.000 24.035
Tc 0.000 0.000 0.000
Se 0.000 0.000 13.229


Entry 4:
5
Lattice="-2.888 2.888 3.664 2.888 -2.888 3.664 2.888 2.888 -3.664" Properties=species:S:1:pos:R:3 comment="ZnSi2Bi2, relaxed, DFT GGA-PBE" total_magnetization_mub_per_cell=0.00 crystal_system=tetragonal formation_energy_uncorrected_mev_per_atom=353.4 polymorph_energy_ev_per_atom=0.076 space_group="No. 139" pbc="T T T"
Zn 0.000 0.000 0.000
Si 0.000 0.000 2.460
Si 0.000 0.000 4.868
Bi 2.888 0.000 1.832
Bi 0.000 2.888 1.832


Entry 5:
4
Lattice="1.620 -2.425 0.000 1.620 2.425 0.000 0.000 0.000 9.384" Properties=species:S:1:pos:R:3 comment="LaMnMo2, relaxed, DFT GGA-PBE" total_magnetization_mub_per_cell=2.58 crystal_system=orthorhombic polymorph_energy_ev_per_atom=0.163 space_group="No. 35" pbc="T T T"
La 0.000 0.000 0.000
Mn 1.620 0.000 2.687
Mo 0.000 0.000 4.639
Mo 1.620 0.000 6.674


Entry 6:
11
Lattice="6.979 -3.172 0.000 6.979 3.172 0.000 -4.036 0.000 15.259" Properties=species:S:1:pos:R:3 comment="Ba8Sr3, relaxed, DFT GGA-PBE" total_magnetization_mub_per_cell=0.00 crystal_system=monoclinic polymorph_energy_ev_per_atom=0.000 space_group="No. 12" pbc="T T T"
Ba 0.673 0.000 2.136
Ba -0.534 0.000 11.713
Ba 2.133 0.000 6.285
Ba 4.882 0.000 0.720
Ba 5.040 0.000 14.539
Ba 7.789 0.000 8.974
Ba 10.456 0.000 3.546
Ba 9.249 0.000 13.123
Sr -2.018 0.000 7.629
Sr 3.647 0.000 10.347
Sr 6.275 0.000 4.912